No. 1
Crystalline PmAgPd6 at its relaxed geometry. Source: Alexandria via LeMat-Bulk, functional PBE.

a b c (Å): 5.2145 5.2145 5.2145
angles (deg): 90.00 90.00 90.00
Closest atoms and distances in Å follow each position.
Fractional coordinates of all 8 atoms:
Pm 0.0000 0.0000 0.0000  12 Pd 2.93
Ag 0.5000 0.5000 0.5000  12 Pd 2.90
Pd 0.0000 0.2550 0.5000  2 Pd 2.56-2.66
Pd 0.0000 0.7450 0.5000  2 Pd 2.56-2.66
Pd 0.2550 0.5000 0.0000  2 Pd 2.56-2.66
Pd 0.5000 0.0000 0.2550  2 Pd 2.56-2.66
Pd 0.5000 0.0000 0.7450  2 Pd 2.56-2.66
Pd 0.7450 0.5000 0.0000  2 Pd 2.56-2.66

- Magnetic moment: 0.00 μB/cell
- N(E_F): 0.767 states/eV/atom
- Formation energy from the elements: -1.77 eV per formula unit
- Energy above the lowest structure with this stoichiometry: 1.23 eV per formula unit

=====

No. 2
Crystalline ZrFePCl2 at its relaxed geometry. Source: Alexandria via LeMat-Bulk, functional PBE.

a b c (Å): 4.3594 4.3594 4.6926
angles (deg): 90.00 90.00 90.00
Closest atoms and distances in Å follow each position.
Fractional coordinates of all 5 atoms:
Zr 0.0000 0.0000 0.0000  4 P 3.08, 8 Cl 3.20
Fe 0.5000 0.5000 0.5000  4 Cl 2.18, 2 P 2.35
P 0.5000 0.5000 0.0000  2 Fe 2.35
Cl 0.0000 0.5000 0.5000  2 Fe 2.18
Cl 0.5000 0.0000 0.5000  2 Fe 2.18

- Magnetic moment: 0.00 μB/cell
- E_form (uncorrected): 0.0901 eV/atom
- N(E_F): 1.315 states/eV/atom
- Energy above the lowest structure with this stoichiometry: 0.61 eV per formula unit